Computed, not measured: Si2NiH at its PBEsol-relaxed geometry at the SCAN level of DFT.

abc: 3.841 3.841 3.841
angles: 60.00 60.00 60.00
Fractional positions:
Si  0.750  0.750  0.750
Ni  0.500  0.500  0.500
Si  0.250  0.250  0.250
H  0.000  0.000  0.000

Summary:
* space-group type: Fm-3m, No. 225

=====

Computed, not measured: Ni3SnH at its PBEsol-relaxed geometry at the SCAN level of DFT.

abc: 3.718 3.718 3.718
angles: 90.00 90.00 90.00
Fractional positions:
Ni  0.500  0.000  0.000
H  0.000  0.000  0.000
Ni  0.000  0.000  0.500
Sn  0.500  0.500  0.500
Ni  0.000  0.500  0.000

Summary:
* space-group type: Pm-3m, No. 221

=====

Computed, not measured: Ni2SnHW at its PBEsol-relaxed geometry at the SCAN level of DFT.

abc: 3.150 4.719 4.719
angles: 90.00 90.00 90.00
Fractional positions:
H  0.500  0.000  0.000
Sn  0.000  0.000  0.000
W  0.500  0.500  0.500
Ni  0.000  0.500  0.000
Ni  0.000  0.000  0.500

Summary:
* space-group type: P4/mmm, No. 123

=====

no.,density of states at the Fermi level (states/eV/f.u.),total moment (μB per atom),DFT total energy (eV per cell)
1,1.48,0.000,-38.652
2,3.03,0.000,-88.491
3,5.29,0.001,-134.695